Material: Li2Cd9Pb
Method: DFT, GGA-PBE
State: relaxed

Cell lengths 4.4147, 4.4147, 13.7479 Å; angles 90.00, 90.00, 90.00 degrees
With the nearest neighbours (Å) after each atom.
Space group P4/mmm (No. 123)
Unique sites:
Li: 0.0000 0.0000 0.1557 x2  12 Cd 3.07-3.12
Cd: 0.0000 0.5000 0.0000 x2  4 Li 3.07, 8 Cd 3.10-3.12
Cd: 0.0000 0.5000 0.3133 x4  8 Cd 3.07-3.39, 2 Li 3.09, 2 Pb 3.39
Cd: 0.5000 0.5000 0.1583 x2  8 Cd 3.07-3.10, 4 Li 3.12
Cd: 0.5000 0.5000 0.5000 x1  4 Pb 3.12, 8 Cd 3.39
Pb: 0.0000 0.0000 0.5000 x1  12 Cd 3.12-3.39

Output
D(E_F)	4.9	states/eV per cell
ΔE_f	-0.08	eV/atom


Material: Zr2FeIr
Method: DFT, GGA-PBE
State: relaxed

Cell lengths 4.1167, 3.4953, 10.0343 Å; angles 90.00, 90.00, 90.00 degrees
With the nearest neighbours (Å) after each atom.
Space group Amm2 (No. 38)
Unique sites:
Zr: 0.0000 0.0000 0.0000 x2  3 Ir 2.77-2.85, 4 Fe 2.77
Zr: 0.5000 0.0000 0.2925 x2  3 Fe 2.70-2.90, 4 Ir 2.79
Fe: 0.5000 0.0000 0.5614 x2  2 Ir 2.63, 7 Zr 2.70-2.90
Ir: 0.0000 0.0000 0.7242 x2  2 Fe 2.63, 7 Zr 2.77-2.85

Output
D(E_F)	10.3	states/eV per cell
ΔE_f	-0.42	eV/atom


Material: Ac3BiPt8
Method: DFT, GGA-PBE
State: relaxed

Cell lengths 5.6802, 5.6802, 27.3849 Å; angles 90.00, 90.00, 120.00 degrees
With the nearest neighbours (Å) after each atom.
Space group R3m (No. 160, hexagonal axes)
Unique sites:
Ac: 0.0000 0.0000 0.0000 x3  12 Pt 3.19-3.44, 3 Bi 3.32
Ac: 0.0000 0.0000 0.1303 x3  12 Pt 3.27-3.33, 4 Ac 3.57-3.60
Ac: 0.0000 0.0000 0.5176 x3  12 Pt 3.15-3.49
Bi: 0.0000 0.0000 0.6479 x3  6 Pt 2.97-3.28, 3 Ac 3.32
Pt: 0.0000 0.0000 0.3180 x3  6 Pt 2.81-2.86
Pt: 0.0000 0.0000 0.8190 x3  6 Pt 2.78-2.79
Pt: 0.0065 0.5032 0.0710 x9  6 Pt 2.78-2.90, 1 Bi 2.97
Pt: 0.1688 0.3377 0.9008 x9  6 Pt 2.79-2.88

Output
D(E_F)	20.0	states/eV per cell
ΔE_f	-0.86	eV/atom


Material: Nb2Ir5OsRu
Method: DFT, GGA-PBE
State: relaxed

Cell lengths 7.1635, 7.1635, 11.5202 Å; angles 90.00, 90.00, 90.00 degrees
With the nearest neighbours (Å) after each atom.
Space group I4/mcm (No. 140)
Unique sites:
Nb: 0.1201 0.3799 0.0000 x8  2 Ir 2.39, 1 Nb 2.43
Ir: 0.0000 0.0000 0.0000 x4  4 Nb 2.85, 2 Os 2.88, 8 Ir 3.05
Ir: 0.2100 0.2900 0.3561 x16  1 Nb 2.39, 1 Ru 2.45, 1 Ir 2.58
Os: 0.0000 0.0000 0.2500 x4  10 Ir 2.84-2.88
Ru: 0.0000 0.5000 0.2500 x4  4 Ir 2.45

Output
D(E_F)	39.2	states/eV per cell
ΔE_f	0.56	eV/atom


Material: Sc4TcSn2
Method: DFT, GGA-PBE
State: relaxed

Cell lengths 4.7938, 4.7938, 15.4113 Å; angles 90.00, 90.00, 90.00 degrees
With the nearest neighbours (Å) after each atom.
Space group I4/mmm (No. 139)
Unique sites:
Sc: 0.0000 0.0000 0.1727 x4  1 Tc 2.66, 1 Sn 2.92
Sc: 0.0000 0.5000 0.0000 x4  2 Tc 2.40
Tc: 0.0000 0.0000 0.0000 x2  6 Sc 2.40-2.66
Sn: 0.0000 0.0000 0.3618 x4  5 Sc 2.92-3.21

Output
D(E_F)	11.8	states/eV per cell
ΔE_f	-0.12	eV/atom


Material: CeTm2Tl5
Method: DFT, GGA-PBE
State: relaxed

Cell lengths 7.9178, 7.9178, 7.1476 Å; angles 90.00, 90.00, 90.00 degrees
With the nearest neighbours (Å) after each atom.
Space group I4mm (No. 107)
Unique sites:
Ce: 0.0000 0.0000 0.0000 x2  10 Tl 3.32-3.58
Tm: 0.0000 0.5000 0.0006 x4  8 Tl 3.32, 2 Tm 3.57
Tl: 0.0000 0.0000 0.5009 x2  8 Tl 3.32, 2 Ce 3.57-3.58
Tl: 0.2498 0.2498 0.2506 x8  4 Tl 3.32-3.57, 2 Ce 3.32, 4 Tm 3.32

Output
D(E_F)	25.1	states/eV per cell
ΔE_f	-0.20	eV/atom